Record 1
VASP calculation (PBE-GGA) on a relaxed structure of MnTcMo2.

a = 2.6834 Å, b = 2.6834 Å, c = 8.5751 Å
α = 90.00°, β = 90.00°, γ = 108.33°
Fractional coordinates of all 4 atoms:
1 Mo 0.5000 0.5000 0.2533
2 Mn 0.5000 0.5000 0.7457
3 Tc 0.0000 0.0000 0.5131
4 Mo 0.0000 0.0000 0.9879

Properties
formation energy: 0.081 eV per atom
space group: Cmm2

Record 2
VASP calculation (PBE-GGA) on a relaxed structure of LiLa2MgPd.

a = 5.6716 Å, b = 5.6716 Å, c = 4.8512 Å
α = 90.00°, β = 90.00°, γ = 90.00°
Fractional coordinates of all 5 atoms:
1 Li 0.0000 0.0000 0.5000
2 Mg 0.5000 0.5000 0.5000
3 La 0.5000 0.0000 0.0000
4 La 0.0000 0.5000 0.0000
5 Pd 0.0000 0.0000 0.0000

Properties
formation energy: -0.168 eV per atom
space group: P4/mmm

Record 3
VASP calculation (PBE-GGA) on a relaxed structure of KCu2Ni.

a = 5.8932 Å, b = 5.8932 Å, c = 5.8932 Å
α = 154.09°, β = 127.25°, γ = 59.68°
Fractional coordinates of all 4 atoms:
1 Ni 0.2500 0.7500 0.5000
2 Cu 0.0490 0.0490 0.0000
3 K 0.7500 0.2500 0.5000
4 Cu 0.4510 0.4510 0.0000

Properties
formation energy: 0.579 eV per atom
space group: Immm

Record 4
VASP calculation (PBE-GGA) on a relaxed structure of GaPdPtRh.

a = 2.8701 Å, b = 2.8703 Å, c = 7.1743 Å
α = 90.00°, β = 90.00°, γ = 90.00°
Fractional coordinates of all 4 atoms:
1 Pt 0.9270 0.5000 0.4152
2 Rh 0.4269 0.0000 0.6852
3 Pd 0.4270 0.0000 0.1348
4 Ga 0.9270 0.5000 0.9039

Properties
formation energy: -0.364 eV per atom
space group: P4mm

Which formula does entry 1 have? MnTcMo2

formation energy of number 4 (GaPdPtRh)? -0.364 eV per atom

Which of these has the lowest formation energy? GaPdPtRh

Among the records above, which one has the lowest formation energy? GaPdPtRh